No. 1
First-principles (meta-GGA SCAN) data for Sr2SbRu at its PBEsol-relaxed geometry, as listed in the Alexandria database.

extended XYZ file:
```
4
Lattice="4.4801 0.0000 0.0000 2.2401 3.8799 0.0000 2.2401 1.2933 8.0773" Properties=species:S:1:pos:R:3 pbc="T T T"
Sr 6.7202 3.8799 5.1577
Sr 6.7202 3.8799 1.0451
Sb 2.2401 1.2933 3.1020
Ru 4.4801 2.5866 3.0946
```

E_form (uncorrected) = -0.353 eV/atom
VASP energy = -29.513 eV/atom



No. 2
First-principles (meta-GGA SCAN) data for La2YPd2 at its PBEsol-relaxed geometry, as listed in the Alexandria database.

extended XYZ file:
```
10
Lattice="-3.5021 -1.9014 -0.7001 1.9625 -0.8191 -7.5924 3.4263 -6.9113 1.6312" Properties=species:S:1:pos:R:3 pbc="T T T"
Y 2.6944 -3.8652 -2.9806
Y 0.0000 0.0000 0.0000
La 2.4093 -7.2427 -4.0728
La 0.8722 -5.7119 -0.5412
La 1.0145 -3.9199 -6.1201
La -0.5226 -2.3891 -2.5885
Pd 3.7097 -6.3197 -1.3929
Pd 3.8653 -5.0638 -5.5822
Pd 1.5236 -2.6666 -0.3790
Pd 1.6792 -1.4107 -4.5683
```

E_form = -750 meV per atom
VASP energy = -36.670 eV/atom



No. 3
First-principles (meta-GGA SCAN) data for LiTiBi2As at its PBEsol-relaxed geometry, as listed in the Alexandria database.

extended XYZ file:
```
5
Lattice="-3.7508 -0.1415 -2.3168 -0.9441 -4.6782 1.8143 -2.5154 2.0387 3.9478" Properties=species:S:1:pos:R:3 pbc="T T T"
Ti -3.6052 -1.3905 1.7226
Li 0.0000 0.0000 0.0000
Bi -0.4721 -2.3391 0.9072
Bi -1.2577 1.0194 1.9739
As -1.8754 -0.0708 -1.1584
```

E_form = 414 meV per atom
VASP energy = -38.740 eV/atom



No. 4
First-principles (meta-GGA SCAN) data for MoP2Ru at its PBEsol-relaxed geometry, as listed in the Alexandria database.

extended XYZ file:
```
4
Lattice="2.8352 0.0044 0.0065 -1.3382 4.5596 -0.0239 -1.3382 -1.7171 4.2240" Properties=species:S:1:pos:R:3 pbc="T T T"
P -0.6691 -0.8586 2.1120
P -0.6691 2.2798 -0.0119
Mo 1.4176 0.0022 0.0033
Ru 0.0795 1.4235 2.1033
```

E_form = 132 meV per atom
VASP energy = -22.495 eV/atom



No. 5
First-principles (meta-GGA SCAN) data for MnAgSb2 at its PBEsol-relaxed geometry, as listed in the Alexandria database.

extended XYZ file:
```
4
Lattice="-1.0265 3.7705 -2.2093 -2.5465 -4.2038 -1.4308 -4.2423 -0.3149 1.4336" Properties=species:S:1:pos:R:3 pbc="T T T"
Mn 0.0000 0.0000 0.0000
Sb -5.2249 0.4898 -1.2971
Sb -2.5905 -1.2380 -0.9093
Ag -2.6344 1.7278 -0.3878
```

E_form (uncorrected) = 0.150 eV/atom
VASP energy = -30.886 eV/atom



No. 6
First-principles (meta-GGA SCAN) data for TlHgPb2 at its PBEsol-relaxed geometry, as listed in the Alexandria database.

extended XYZ file:
```
4
Lattice="-3.0881 -1.3082 -1.7824 1.0566 -4.9523 1.8042 -1.9387 4.1042 4.3929" Properties=species:S:1:pos:R:3 pbc="T T T"
Pb -3.0278 -0.1650 1.3204
Pb -3.8941 -2.1814 4.3012
Hg -0.9408 -1.9918 3.0918
Tl -1.0934 -3.1046 0.1267
```

E_form = 31 meV per atom
VASP energy = -72.990 eV/atom



No. 7
First-principles (meta-GGA SCAN) data for POs2W at its PBEsol-relaxed geometry, as listed in the Alexandria database.

extended XYZ file:
```
4
Lattice="-1.5351 -2.2675 -0.5988 2.4155 -0.6863 -3.5937 3.6338 -1.4811 2.8529" Properties=species:S:1:pos:R:3 pbc="T T T"
Os 1.8744 -1.3408 0.2717
Os 2.6398 -3.0941 -1.6113
P 1.2078 -0.3431 -1.7968
W -0.7676 -1.1337 -0.2994
```

E_form = 252 meV per atom
VASP energy = -55.709 eV/atom



No. 8
First-principles (meta-GGA SCAN) data for Ba4RuPb at its PBEsol-relaxed geometry, as listed in the Alexandria database.

extended XYZ file:
```
6
Lattice="-3.6436 2.8424 4.9069 0.7550 -2.0488 6.3769 2.9786 4.0327 4.5053" Properties=species:S:1:pos:R:3 pbc="T T T"
Ba -1.7903 3.2321 8.3750
Ba 1.5249 3.8280 8.1739
Ba 0.0337 1.8091 5.9185
Ba 0.4117 0.7835 9.1109
Ru 0.0000 0.0000 0.0000
Pb 0.0675 3.6197 11.8418
```

E_form = 778 meV per atom
VASP energy = -44.024 eV/atom



No. 9
First-principles (meta-GGA SCAN) data for Cu2ReSe at its PBEsol-relaxed geometry, as listed in the Alexandria database.

extended XYZ file:
```
4
Lattice="-1.7395 1.9754 -0.3116 -1.3126 -0.8161 2.1532 4.6987 4.8811 4.7143" Properties=species:S:1:pos:R:3 pbc="T T T"
Se 0.8233 3.0202 3.2779
Re -1.5260 0.5797 0.9208
Cu 3.6280 3.7689 3.6401
Cu 1.0706 1.1122 1.0742
```

E_form (uncorrected) = 0.481 eV/atom
VASP energy = -29.913 eV/atom



No. 10
First-principles (meta-GGA SCAN) data for CrAg2Os at its PBEsol-relaxed geometry, as listed in the Alexandria database.

extended XYZ file:
```
4
Lattice="3.9682 0.0000 0.0000 0.0000 3.9682 0.0000 -1.9841 -1.9841 3.7328" Properties=species:S:1:pos:R:3 pbc="T T T"
Os 0.0000 1.9841 1.8664
Ag 1.9841 0.0000 1.8664
Ag 0.0000 0.0000 0.0000
Cr 1.9841 1.9841 0.0000
```

energy above the lowest structure with this stoichiometry = 0 meV per atom
E_form = 583 meV per atom
VASP energy = -37.667 eV/atom



No. 11
First-principles (meta-GGA SCAN) data for Y3Ga8Rh3 at its PBEsol-relaxed geometry, as listed in the Alexandria database.

extended XYZ file:
```
14
Lattice="4.1357 0.0000 0.0000 2.0678 7.7742 0.0416 2.0678 1.7666 7.5709" Properties=species:S:1:pos:R:3 pbc="T T T"
Ga 4.1357 1.8971 5.0035
Ga 4.1357 5.2999 0.7389
Ga 6.2035 5.6051 6.0853
Ga 2.0678 2.3629 3.4983
Ga 6.2035 7.1778 4.1142
Ga 2.0678 3.9356 1.5272
Ga 4.1357 4.2409 6.8736
Ga 4.1357 7.6436 2.6090
Rh 2.0678 0.0000 0.0000
Rh 2.0678 6.4485 1.7030
Rh 2.0678 3.0922 5.9095
Y 4.1357 4.7704 3.8063
Y 4.1357 7.8942 6.2987
Y 4.1357 1.6466 1.3138
```

E_form = -845 meV per atom
VASP energy = -23.389 eV/atom



No. 12
First-principles (meta-GGA SCAN) data for SbAsIrSe2 at its PBEsol-relaxed geometry, as listed in the Alexandria database.

extended XYZ file:
```
5
Lattice="-4.3713 1.9110 1.6957 -0.3925 -3.8229 3.2965 2.5574 2.7499 3.4935" Properties=species:S:1:pos:R:3 pbc="T T T"
Se -0.1962 -1.9115 1.6482
Se -2.1856 0.9555 0.8479
Sb 0.0000 0.0000 0.0000
As 1.2787 1.3749 1.7468
Ir -1.1032 0.4190 4.2429
```

E_form (uncorrected) = 1.677 eV/atom
VASP energy = -32.065 eV/atom



No. 13
First-principles (meta-GGA SCAN) data for AgAuCl4 at its PBEsol-relaxed geometry, as listed in the Alexandria database.

extended XYZ file:
```
12
Lattice="-2.3438 -0.3717 -3.3598 -4.2630 -4.9012 0.9982 -8.7362 7.0559 2.7958" Properties=species:S:1:pos:R:3 pbc="T T T"
Au -6.4996 1.0773 1.8970
Au 0.0000 0.0000 0.0000
Cl -9.0499 -1.4995 -0.8679
Cl -3.8639 -2.6655 0.6794
Cl -5.7499 0.4187 -0.1737
Cl -6.2932 3.2825 1.3020
Cl -9.5931 1.3642 0.6079
Cl -2.2582 0.4194 -0.0917
Cl -13.0849 1.3636 0.5258
Cl -11.4792 4.4485 -0.2453
Ag -6.5556 -2.0982 -0.2357
Ag -8.7875 3.8811 0.6698
```

E_form (uncorrected) = -0.464 eV/atom
VASP energy = -22.537 eV/atom



No. 14
First-principles (meta-GGA SCAN) data for Cd2Se at its PBEsol-relaxed geometry, as listed in the Alexandria database.

extended XYZ file:
```
6
Lattice="-3.4751 1.6610 0.3011 1.3054 -2.2759 2.8358 4.4932 8.5340 4.7805" Properties=species:S:1:pos:R:3 pbc="T T T"
Cd 2.3727 4.0901 4.8218
Cd -1.4674 1.1354 1.5867
Cd 3.7910 6.7837 6.3307
Cd -0.0491 3.8290 3.0956
Se 3.3699 6.4005 3.5854
Se 1.1233 2.1335 1.1951
```

E_form (uncorrected) = -0.291 eV/atom
energy above the lowest structure with this stoichiometry = 20 meV per atom
VASP energy = -27.260 eV/atom



No. 15
First-principles (meta-GGA SCAN) data for PIrW2 at its PBEsol-relaxed geometry, as listed in the Alexandria database.

extended XYZ file:
```
4
Lattice="2.8353 0.0000 0.0000 0.0000 3.9483 0.0000 -1.4177 0.0000 5.1018" Properties=species:S:1:pos:R:3 pbc="T T T"
Ir 1.4177 0.0000 1.8768
P 1.4177 1.9742 0.5489
W 1.4177 0.0000 4.6254
W 0.0000 1.9742 3.1914
```

E_form = -60 meV per atom
VASP energy = -55.279 eV/atom



No. 16
First-principles (meta-GGA SCAN) data for AsRhPb2 at its PBEsol-relaxed geometry, as listed in the Alexandria database.

extended XYZ file:
```
4
Lattice="-0.5834 -4.3320 0.4270 4.2380 -0.3402 2.3389 -3.8063 0.7979 2.8945" Properties=species:S:1:pos:R:3 pbc="T T T"
Pb -3.3185 0.7289 2.8609
Pb 1.3357 -2.1369 2.7328
Rh -0.2322 0.2923 2.6483
As -1.5272 -1.7320 2.9295
```

E_form = -97 meV per atom
VASP energy = -51.478 eV/atom



No. 17
First-principles (meta-GGA SCAN) data for ZnReSi2 at its PBEsol-relaxed geometry, as listed in the Alexandria database.

extended XYZ file:
```
4
Lattice="-1.9652 -0.6769 -2.3948 -0.1676 -3.0086 0.9879 -4.1538 1.2360 3.0593" Properties=species:S:1:pos:R:3 pbc="T T T"
Re -3.1433 -1.2247 0.8262
Si -3.1179 0.9278 2.2964
Si -1.0358 0.3082 0.7629
Zn -1.0664 -1.8427 -0.7035
```

E_form (uncorrected) = 0.071 eV/atom
VASP energy = -26.090 eV/atom



No. 18
First-principles (meta-GGA SCAN) data for La4Tc at its PBEsol-relaxed geometry, as listed in the Alexandria database.

extended XYZ file:
```
5
Lattice="-1.7707 0.9326 2.9896 -2.5881 -5.6019 2.3793 4.3866 -0.5134 4.9229" Properties=species:S:1:pos:R:3 pbc="T T T"
Tc 0.0000 0.0000 0.0000
La -1.4021 -4.3586 4.8586
La 0.5226 -3.4431 7.8776
La 1.4298 -0.8241 5.4332
La -0.4949 -1.7396 2.4142
```

E_form = 39 meV per atom
VASP energy = -41.457 eV/atom



No. 19
First-principles (meta-GGA SCAN) data for LaZrPd3 at its PBEsol-relaxed geometry, as listed in the Alexandria database.

extended XYZ file:
```
5
Lattice="-1.0416 -4.7409 0.6625 2.0130 0.1813 4.4626 -4.3431 1.2210 1.9095" Properties=species:S:1:pos:R:3 pbc="T T T"
Pd 1.0065 0.0907 2.2313
Pd -2.1715 0.6105 0.9547
Pd -0.5208 -2.3704 0.3312
Zr 0.0000 0.0000 0.0000
La -1.6858 -1.6693 3.5173
```

E_form = -224 meV per atom
VASP energy = -34.649 eV/atom



No. 20
First-principles (meta-GGA SCAN) data for ReIN2O at its PBEsol-relaxed geometry, as listed in the Alexandria database.

extended XYZ file:
```
5
Lattice="-0.2302 -3.6803 1.0347 3.8656 -0.5335 -1.0374 1.1410 0.9819 3.7466" Properties=species:S:1:pos:R:3 pbc="T T T"
N 1.9328 -0.2667 -0.5187
N 0.5705 0.4910 1.8733
O -0.1151 -1.8402 0.5173
Re 0.0000 0.0000 0.0000
I 2.3882 -1.6159 1.8719
```

E_form (uncorrected) = 0.591 eV/atom
VASP energy = -25.939 eV/atom